No. 1
! Ac2Zn3Ge4Pb, relaxed, DFT PBE; values from VASP
&SYSTEM
  ibrav = 0, nat = 10, ntyp = 4
/
ATOMIC_SPECIES
Ac 227.00 Ac.upf
Zn 65.41 Zn.upf
Ge 72.64 Ge.upf
Pb 207.20 Pb.upf
CELL_PARAMETERS angstrom
4.609 0.000 0.000
0.000 4.609 0.000
0.000 0.000 11.166
ATOMIC_POSITIONS crystal
Ac 0.000 0.500 0.773
Zn 0.500 0.000 0.890
Ac 0.500 0.000 0.227
Ge 0.000 0.000 0.000
Ge 0.500 0.000 0.664
Ge 0.000 0.500 0.336
Ge 0.500 0.500 0.000
Zn 0.000 0.500 0.110
Zn 0.000 0.000 0.500
Pb 0.500 0.500 0.500
! E_tot   -37.3 eV per cell
! Size of the total moment   0.000 μB per formula unit
! Crystal system   tetragonal
! Formation energy   -304 meV per atom

No. 2
! EuTmAgAu, relaxed, DFT PBE; values from VASP
&SYSTEM
  ibrav = 0, nat = 4, ntyp = 4
/
ATOMIC_SPECIES
Tm 168.93 Tm.upf
Au 196.97 Au.upf
Eu 151.96 Eu.upf
Ag 107.87 Ag.upf
CELL_PARAMETERS angstrom
-4.884 1.634 0.451
-3.834 -2.669 -2.214
-3.346 -2.632 2.933
ATOMIC_POSITIONS crystal
Tm 0.500 0.500 0.500
Au 0.750 0.750 0.750
Eu 0.000 0.000 0.000
Ag 0.250 0.250 0.250
! E_tot   -23.0 eV per cell
! Size of the total moment   7.009 μB per formula unit
! Crystal system   cubic
! Formation energy   -526 meV per atom

> Look up the size of the total moment of the second one.

7.009 μB per formula unit